Crystalline FeSeO2F at its relaxed geometry. Source: Alexandria, functional PBE with a Hubbard U.

abc: 4.012 4.012 3.838
angles: 90.00 90.00 90.00
Sites, in units of the cell vectors:
O1 0.000 0.500 0.000
O2 0.500 0.000 0.000
F1 0.000 0.000 0.500
Fe1 0.000 0.000 0.000
Se1 0.500 0.500 0.500

Results
Electronic total energy   -23.83 eV per cell
Space group   P4/mmm
Magnetization   5.082 μB/f.u.